{"formula": "Li3Ti6Zn3O16", "functional": "GGA-PBEsol", "state": "optimized geometry", "formation_energy_uncorrected_mev_per_atom": -2600, "dos_at_fermi_per_ev_cell": 15.993, "lattice": [[8.357, 0.000, 0.000], [0.000, 8.357, 0.000], [-0.020, 0.000, 8.358]], "species": ["Li", "Li", "Li", "Li", "Li", "Li", "Ti", "Ti", "Ti", "Ti", "Ti", "Ti", "Ti", "Ti", "Ti", "Ti", "Ti", "Ti", "Zn", "Zn", "Zn", "Zn", "Zn", "Zn", "O", "O", "O", "O", "O", "O", "O", "O", "O", "O", "O", "O", "O", "O", "O", "O", "O", "O", "O", "O", "O", "O", "O", "O", "O", "O", "O", "O", "O", "O", "O", "O"], "frac_coords": [[0.001, 0.000, 0.249], [0.126, 0.377, 0.373], [0.376, 0.627, 0.875], [0.624, 0.127, 0.125], [0.874, 0.877, 0.627], [0.999, 0.500, 0.751], [0.116, 0.129, 0.614], [0.123, 0.869, 0.871], [0.129, 0.624, 0.119], [0.364, 0.382, 0.627], [0.372, 0.132, 0.369], [0.376, 0.876, 0.121], [0.624, 0.376, 0.879], [0.628, 0.632, 0.631], [0.636, 0.882, 0.373], [0.871, 0.124, 0.881], [0.877, 0.369, 0.129], [0.884, 0.629, 0.386], [0.249, 0.252, 0.998], [0.250, 0.754, 0.500], [0.499, 0.002, 0.750], [0.501, 0.502, 0.250], [0.750, 0.254, 0.500], [0.751, 0.752, 0.002], [0.109, 0.628, 0.361], [0.112, 0.393, 0.124], [0.113, 0.115, 0.862], [0.125, 0.644, 0.890], [0.127, 0.892, 0.642], [0.138, 0.865, 0.112], [0.142, 0.125, 0.393], [0.143, 0.360, 0.625], [0.359, 0.640, 0.127], [0.362, 0.878, 0.892], [0.364, 0.138, 0.614], [0.373, 0.114, 0.141], [0.378, 0.360, 0.389], [0.386, 0.888, 0.364], [0.390, 0.610, 0.622], [0.392, 0.375, 0.860], [0.608, 0.875, 0.140], [0.610, 0.110, 0.378], [0.614, 0.388, 0.636], [0.622, 0.860, 0.611], [0.627, 0.614, 0.859], [0.636, 0.638, 0.386], [0.638, 0.378, 0.108], [0.641, 0.140, 0.873], [0.857, 0.860, 0.375], [0.858, 0.625, 0.607], [0.862, 0.365, 0.888], [0.873, 0.392, 0.358], [0.875, 0.144, 0.110], [0.887, 0.615, 0.138], [0.888, 0.893, 0.876], [0.891, 0.128, 0.639]]}

{"formula": "LiTlO2", "functional": "GGA-PBEsol", "state": "optimized geometry", "formation_energy_uncorrected_mev_per_atom": -1143, "polymorph_energy_ev_per_atom": 0.0025, "lattice": [[-2.343, 2.343, 4.969], [2.343, -2.343, 4.969], [2.343, 2.343, -4.969]], "species": ["Li", "Li", "Tl", "Tl", "O", "O", "O", "O"], "frac_coords": [[0.000, 0.000, 0.000], [0.750, 0.250, 0.500], [0.250, 0.750, 0.500], [0.500, 0.500, 0.000], [0.092, 0.625, 0.967], [0.375, 0.342, 0.467], [0.658, 0.125, 0.033], [0.875, 0.908, 0.533]]}

{"formula": "Li3TlO", "functional": "GGA-PBEsol", "state": "optimized geometry", "formation_energy_uncorrected_mev_per_atom": -938, "dos_at_fermi_per_ev_cell": 2.101, "lattice": [[4.049, 0.000, 0.000], [0.000, 4.049, 0.000], [0.000, 0.000, 4.049]], "species": ["Li", "Li", "Li", "Tl", "O"], "frac_coords": [[0.000, 0.000, 0.500], [0.000, 0.500, 0.000], [0.500, 0.000, 0.000], [0.500, 0.500, 0.500], [0.000, 0.000, 0.000]]}

{"formula": "LiTlO2", "functional": "GGA-PBEsol", "state": "optimized geometry", "formation_energy_uncorrected_mev_per_atom": -1146, "polymorph_energy_ev_per_atom": 0.0000, "lattice": [[-2.282, 2.282, 4.570], [2.282, -2.282, 4.570], [2.282, 2.282, -4.570]], "species": ["Li", "Li", "Tl", "Tl", "O", "O", "O", "O"], "frac_coords": [[0.375, 0.625, 0.750], [0.625, 0.375, 0.250], [0.125, 0.875, 0.250], [0.875, 0.125, 0.750], [0.121, 0.371, 0.750], [0.371, 0.121, 0.250], [0.629, 0.879, 0.750], [0.879, 0.629, 0.250]]}

{"formula": "LiTlO2", "functional": "GGA-PBEsol", "state": "optimized geometry", "formation_energy_uncorrected_mev_per_atom": -1101, "dos_at_fermi_per_ev_cell": 0.382, "polymorph_energy_ev_per_atom": 0.0450, "lattice": [[3.317, 0.000, 0.000], [0.000, 3.317, 0.000], [0.000, 0.000, 4.271]], "species": ["Li", "Tl", "O", "O"], "frac_coords": [[0.000, 0.000, 0.000], [0.500, 0.500, 0.500], [0.000, 0.000, 0.500], [0.500, 0.500, 0.000]]}

{"formula": "LiYTlO2", "functional": "GGA-PBEsol", "state": "optimized geometry", "formation_energy_uncorrected_mev_per_atom": -767, "dos_at_fermi_per_ev_cell": 1.367, "lattice": [[4.151, 0.000, 0.000], [0.000, 4.151, 0.000], [0.000, 0.000, 4.152]], "species": ["Li", "Y", "Tl", "O", "O"], "frac_coords": [[0.000, 0.000, 0.000], [0.500, 0.500, 0.500], [0.000, 0.000, 0.500], [0.000, 0.500, 0.000], [0.500, 0.000, 0.000]]}

{"formula": "LiTmO2", "functional": "GGA-PBEsol", "state": "optimized geometry", "formation_energy_uncorrected_mev_per_atom": -2979, "dos_at_fermi_per_ev_cell": 0.000, "lattice": [[1.636, 0.945, 4.939], [-1.636, 0.945, 4.939], [0.000, -1.889, 4.939]], "species": ["Li", "Tm", "O", "O"], "frac_coords": [[0.000, 0.000, 0.000], [0.500, 0.500, 0.500], [0.245, 0.245, 0.245], [0.755, 0.755, 0.755]]}

{"formula": "LiTmO2", "functional": "GGA-PBEsol", "state": "optimized geometry", "formation_energy_uncorrected_mev_per_atom": -3044, "dos_at_fermi_per_ev_cell": 0.000, "lattice": [[-2.175, 2.175, 5.022], [2.175, -2.175, 5.022], [2.175, 2.175, -5.022]], "species": ["Li", "Li", "Tm", "Tm", "O", "O", "O", "O"], "frac_coords": [[0.375, 0.625, 0.750], [0.625, 0.375, 0.250], [0.125, 0.875, 0.250], [0.875, 0.125, 0.750], [0.098, 0.348, 0.750], [0.348, 0.098, 0.250], [0.652, 0.902, 0.750], [0.902, 0.652, 0.250]]}

{"formula": "LiTmW2O8", "functional": "GGA-PBEsol", "state": "optimized geometry", "formation_energy_uncorrected_mev_per_atom": -2548, "dos_at_fermi_per_ev_cell": 0.000, "lattice": [[4.967, 0.000, 0.000], [0.000, 5.805, 0.000], [-4.498, 0.000, 9.829]], "species": ["Li", "Li", "Tm", "Tm", "W", "W", "W", "W", "O", "O", "O", "O", "O", "O", "O", "O", "O", "O", "O", "O", "O", "O", "O", "O"], "frac_coords": [[0.000, 0.222, 0.250], [0.000, 0.778, 0.750], [0.500, 0.185, 0.750], [0.500, 0.815, 0.250], [0.266, 0.321, 0.014], [0.266, 0.679, 0.514], [0.734, 0.321, 0.486], [0.734, 0.679, 0.986], [0.156, 0.391, 0.597], [0.156, 0.609, 0.097], [0.231, 0.125, 0.135], [0.231, 0.875, 0.635], [0.281, 0.129, 0.886], [0.281, 0.871, 0.386], [0.343, 0.410, 0.388], [0.343, 0.590, 0.888], [0.657, 0.410, 0.112], [0.657, 0.590, 0.612], [0.719, 0.129, 0.614], [0.719, 0.871, 0.114], [0.769, 0.125, 0.365], [0.769, 0.875, 0.865], [0.844, 0.391, 0.903], [0.844, 0.609, 0.403]]}

{"formula": "LiUO3", "functional": "GGA-PBEsol", "state": "optimized geometry", "formation_energy_uncorrected_mev_per_atom": -2875, "dos_at_fermi_per_ev_cell": 2.410, "lattice": [[2.704, 1.561, 4.946], [-2.704, 1.561, 4.946], [0.000, -3.123, 4.946]], "species": ["Li", "Li", "U", "U", "O", "O", "O", "O", "O", "O"], "frac_coords": [[0.000, 0.000, 0.000], [0.500, 0.500, 0.500], [0.276, 0.276, 0.276], [0.776, 0.776, 0.776], [0.044, 0.378, 0.670], [0.170, 0.878, 0.544], [0.378, 0.670, 0.044], [0.544, 0.170, 0.878], [0.670, 0.044, 0.378], [0.878, 0.544, 0.170]]}

{"formula": "Li3UO4", "functional": "GGA-PBEsol", "state": "optimized geometry", "formation_energy_uncorrected_mev_per_atom": -2581, "dos_at_fermi_per_ev_cell": 2.841, "lattice": [[-2.217, 2.217, 4.185], [2.217, -2.217, 4.185], [2.217, 2.217, -4.185]], "species": ["Li", "Li", "Li", "U", "O", "O", "O", "O"], "frac_coords": [[0.000, 0.000, 0.000], [0.250, 0.750, 0.500], [0.750, 0.250, 0.500], [0.500, 0.500, 0.000], [0.000, 0.500, 0.500], [0.260, 0.260, 0.000], [0.500, 0.000, 0.500], [0.740, 0.740, 0.000]]}

{"formula": "Li2U3V2O15", "functional": "GGA-PBEsol", "state": "optimized geometry", "formation_energy_uncorrected_mev_per_atom": -2714, "dos_at_fermi_per_ev_cell": 0.000, "lattice": [[-3.665, 3.665, 12.302], [3.665, -3.665, 12.302], [3.665, 3.665, -12.302]], "species": ["Li", "Li", "Li", "Li", "U", "U", "U", "U", "U", "U", "V", "V", "V", "V", "O", "O", "O", "O", "O", "O", "O", "O", "O", "O", "O", "O", "O", "O", "O", "O", "O", "O", "O", "O", "O", "O", "O", "O", "O", "O", "O", "O", "O", "O"], "frac_coords": [[0.029, 0.279, 0.750], [0.279, 0.029, 0.250], [0.721, 0.971, 0.750], [0.971, 0.721, 0.250], [0.125, 0.875, 0.250], [0.290, 0.540, 0.750], [0.460, 0.710, 0.750], [0.540, 0.290, 0.250], [0.710, 0.460, 0.250], [0.875, 0.125, 0.750], [0.157, 0.407, 0.750], [0.407, 0.157, 0.250], [0.593, 0.843, 0.750], [0.843, 0.593, 0.250], [0.025, 0.453, 0.573], [0.051, 0.801, 0.250], [0.119, 0.175, 0.557], [0.119, 0.562, 0.943], [0.175, 0.119, 0.057], [0.199, 0.949, 0.250], [0.213, 0.712, 0.502], [0.288, 0.290, 0.502], [0.288, 0.787, 0.998], [0.290, 0.288, 0.002], [0.375, 0.625, 0.750], [0.380, 0.453, 0.927], [0.438, 0.881, 0.557], [0.453, 0.025, 0.073], [0.453, 0.380, 0.427], [0.547, 0.620, 0.573], [0.547, 0.975, 0.927], [0.562, 0.119, 0.443], [0.620, 0.547, 0.073], [0.625, 0.375, 0.250], [0.710, 0.712, 0.998], [0.712, 0.213, 0.002], [0.712, 0.710, 0.498], [0.787, 0.288, 0.498], [0.801, 0.051, 0.750], [0.825, 0.881, 0.943], [0.881, 0.438, 0.057], [0.881, 0.825, 0.443], [0.949, 0.199, 0.750], [0.975, 0.547, 0.427]]}

{"formula": "Li4V3O8", "functional": "GGA-PBEsol", "state": "optimized geometry", "formation_energy_uncorrected_mev_per_atom": -2294, "dos_at_fermi_per_ev_cell": 4.558, "polymorph_energy_ev_per_atom": 0.0000, "lattice": [[6.067, 0.000, 0.000], [0.000, 5.554, 0.000], [-5.122, 0.000, 8.193]], "species": ["Li", "Li", "Li", "Li", "Li", "Li", "Li", "Li", "V", "V", "V", "V", "V", "V", "O", "O", "O", "O", "O", "O", "O", "O", "O", "O", "O", "O", "O", "O", "O", "O"], "frac_coords": [[0.000, 0.000, 0.000], [0.000, 0.500, 0.500], [0.074, 0.015, 0.358], [0.074, 0.485, 0.858], [0.500, 0.000, 0.500], [0.500, 0.500, 0.000], [0.926, 0.515, 0.142], [0.926, 0.985, 0.642], [0.494, 0.739, 0.736], [0.494, 0.761, 0.236], [0.500, 0.000, 0.000], [0.500, 0.500, 0.500], [0.506, 0.239, 0.764], [0.506, 0.261, 0.264], [0.277, 0.748, 0.514], [0.277, 0.752, 0.014], [0.284, 0.509, 0.261], [0.284, 0.991, 0.761], [0.290, 0.009, 0.257], [0.290, 0.491, 0.757], [0.300, 0.234, 0.017], [0.300, 0.266, 0.517], [0.700, 0.734, 0.483], [0.700, 0.766, 0.983], [0.710, 0.509, 0.243], [0.710, 0.991, 0.743], [0.716, 0.009, 0.239], [0.716, 0.491, 0.739], [0.723, 0.248, 0.986], [0.723, 0.252, 0.486]]}

{"formula": "Li4V3O8", "functional": "GGA-PBEsol", "state": "optimized geometry", "formation_energy_uncorrected_mev_per_atom": -2294, "dos_at_fermi_per_ev_cell": 2.410, "polymorph_energy_ev_per_atom": 0.0002, "lattice": [[6.058, 0.000, 0.000], [0.000, 5.622, 0.000], [-5.239, 0.000, 8.213]], "species": ["Li", "Li", "Li", "Li", "Li", "Li", "Li", "Li", "V", "V", "V", "V", "V", "V", "O", "O", "O", "O", "O", "O", "O", "O", "O", "O", "O", "O", "O", "O", "O", "O"], "frac_coords": [[0.000, 0.250, 0.000], [0.000, 0.750, 0.500], [0.052, 0.250, 0.354], [0.052, 0.750, 0.854], [0.484, 0.250, 0.497], [0.484, 0.750, 0.997], [0.904, 0.250, 0.639], [0.904, 0.750, 0.139], [0.478, 0.010, 0.745], [0.478, 0.990, 0.245], [0.479, 0.489, 0.745], [0.479, 0.511, 0.245], [0.499, 0.250, 0.991], [0.499, 0.750, 0.491], [0.259, 0.250, 0.757], [0.259, 0.750, 0.257], [0.284, 0.010, 0.018], [0.284, 0.489, 0.018], [0.284, 0.511, 0.518], [0.284, 0.990, 0.518], [0.286, 0.250, 0.259], [0.286, 0.750, 0.759], [0.683, 0.250, 0.229], [0.683, 0.750, 0.729], [0.703, 0.009, 0.985], [0.703, 0.250, 0.746], [0.703, 0.491, 0.985], [0.703, 0.509, 0.485], [0.703, 0.750, 0.246], [0.703, 0.991, 0.485]]}

{"formula": "LiV3O6", "functional": "GGA-PBEsol", "state": "optimized geometry", "formation_energy_uncorrected_mev_per_atom": -2360, "dos_at_fermi_per_ev_cell": 4.633, "lattice": [[2.451, 1.415, 4.535], [-2.451, 1.415, 4.535], [0.000, -2.830, 4.535]], "species": ["Li", "V", "V", "V", "O", "O", "O", "O", "O", "O"], "frac_coords": [[0.000, 0.000, 0.000], [0.288, 0.288, 0.288], [0.487, 0.487, 0.487], [0.788, 0.788, 0.788], [0.070, 0.420, 0.667], [0.202, 0.890, 0.550], [0.420, 0.667, 0.070], [0.550, 0.202, 0.890], [0.667, 0.070, 0.420], [0.890, 0.550, 0.202]]}

{"formula": "LiVO3", "functional": "GGA-PBEsol", "state": "optimized geometry", "formation_energy_uncorrected_mev_per_atom": -2332, "dos_at_fermi_per_ev_cell": 0.000, "lattice": [[5.118, -4.143, 0.000], [5.118, 4.143, 0.000], [-2.143, 0.000, 5.426]], "species": ["Li", "Li", "Li", "Li", "V", "V", "V", "V", "O", "O", "O", "O", "O", "O", "O", "O", "O", "O", "O", "O"], "frac_coords": [[0.078, 0.922, 0.750], [0.282, 0.718, 0.250], [0.718, 0.282, 0.750], [0.922, 0.078, 0.250], [0.189, 0.379, 0.763], [0.379, 0.189, 0.263], [0.621, 0.811, 0.737], [0.811, 0.621, 0.237], [0.003, 0.778, 0.339], [0.076, 0.627, 0.776], [0.222, 0.997, 0.161], [0.321, 0.383, 0.078], [0.373, 0.924, 0.724], [0.383, 0.321, 0.578], [0.617, 0.679, 0.422], [0.627, 0.076, 0.276], [0.679, 0.617, 0.922], [0.778, 0.003, 0.839], [0.924, 0.373, 0.224], [0.997, 0.222, 0.661]]}

{"formula": "LiVO2", "functional": "GGA-PBEsol", "state": "optimized geometry", "formation_energy_uncorrected_mev_per_atom": -2257, "dos_at_fermi_per_ev_cell": 8.111, "lattice": [[0.000, 4.054, 4.054], [4.054, 0.000, 4.054], [4.054, 4.054, 0.000]], "species": ["Li", "Li", "Li", "Li", "V", "V", "V", "V", "O", "O", "O", "O", "O", "O", "O", "O"], "frac_coords": [[0.000, 0.000, 0.000], [0.000, 0.000, 0.500], [0.000, 0.500, 0.000], [0.500, 0.000, 0.000], [0.000, 0.500, 0.500], [0.500, 0.000, 0.500], [0.500, 0.500, 0.000], [0.500, 0.500, 0.500], [0.253, 0.253, 0.253], [0.253, 0.253, 0.740], [0.253, 0.740, 0.253], [0.260, 0.747, 0.747], [0.740, 0.253, 0.253], [0.747, 0.260, 0.747], [0.747, 0.747, 0.260], [0.747, 0.747, 0.747]]}